[1]
# In2AsOs (PBE, optimized geometry)
data_In2AsOs
_cell_length_a 6.7481
_cell_length_b 6.7481
_cell_length_c 6.7481
_cell_angle_alpha 90.00
_cell_angle_beta 90.00
_cell_angle_gamma 90.00
_space_group_name_H-M_alt 'F -4 3 m'
_space_group_IT_number 216
_space_group_name_Hall 'F -4 2 3'
loop_
_atom_site_label
_atom_site_fract_x
_atom_site_fract_y
_atom_site_fract_z
In1 0.0000 0.0000 0.0000
In2 0.2500 0.2500 0.2500
As1 0.2500 0.2500 0.7500
Os1 0.0000 0.0000 0.5000
# M_tot = 0.00 μB/cell

***

[2]
# InAsOs2 (PBE, optimized geometry)
data_InAsOs2
_cell_length_a 2.8944
_cell_length_b 2.8944
_cell_length_c 8.3297
_cell_angle_alpha 90.00
_cell_angle_beta 90.00
_cell_angle_gamma 90.00
_space_group_name_H-M_alt 'P 4 m m'
_space_group_IT_number 99
loop_
_space_group_symop_operation_xyz
'x,y,z'
'-y,x,z'
'-x,-y,z'
'y,-x,z'
'-x,y,z'
'y,x,z'
'x,-y,z'
'-y,-x,z'
loop_
_atom_site_label
_atom_site_fract_x
_atom_site_fract_y
_atom_site_fract_z
In1 0.0000 0.0000 0.0000
As1 0.5000 0.5000 0.6688
Os1 0.0000 0.0000 0.4610
Os2 0.5000 0.5000 0.2550
# Excess energy over the best structure of this formula in the dataset = 0 meV per atom
# M_tot = 0.00 μB/cell

***

[3]
# InAsOs2 (PBE, optimized geometry)
data_InAsOs2
_cell_length_a 2.9918
_cell_length_b 2.9918
_cell_length_c 25.1143
_cell_angle_alpha 90.00
_cell_angle_beta 90.00
_cell_angle_gamma 120.00
_space_group_name_H-M_alt 'R -3 m'
_space_group_IT_number 166
_space_group_name_Hall '-R 3 2"'
loop_
_atom_site_label
_atom_site_fract_x
_atom_site_fract_y
_atom_site_fract_z
In1 0.0000 0.0000 0.0000
As1 0.0000 0.0000 0.5000
Os1 0.0000 0.0000 0.2407
# Excess energy over the best structure of this formula in the dataset = 184 meV per atom
# M_tot = 0.00 μB/cell

***

[4]
# InAsOs2 (PBE, optimized geometry)
data_InAsOs2
_cell_length_a 3.0817
_cell_length_b 3.0817
_cell_length_c 6.6621
_cell_angle_alpha 90.00
_cell_angle_beta 90.00
_cell_angle_gamma 90.00
_space_group_name_H-M_alt 'P 4/m m m'
_space_group_IT_number 123
_space_group_name_Hall '-P 4 2'
loop_
_atom_site_label
_atom_site_fract_x
_atom_site_fract_y
_atom_site_fract_z
In1 0.0000 0.0000 0.0000
As1 0.0000 0.0000 0.5000
Os1 0.5000 0.5000 0.2805
# Excess energy over the best structure of this formula in the dataset = 136 meV per atom
# M_tot = 0.00 μB/cell

***

[5]
# InAsOs3 (PBE, optimized geometry)
data_InAsOs3
_cell_length_a 4.5473
_cell_length_b 4.5473
_cell_length_c 4.5473
_cell_angle_alpha 90.00
_cell_angle_beta 90.00
_cell_angle_gamma 90.00
_space_group_name_H-M_alt 'P m -3 m'
_space_group_IT_number 221
_space_group_name_Hall '-P 4 2 3'
loop_
_atom_site_label
_atom_site_fract_x
_atom_site_fract_y
_atom_site_fract_z
In1 0.0000 0.0000 0.0000
As1 0.5000 0.5000 0.5000
Os1 0.0000 0.5000 0.5000
# Excess energy over the best structure of this formula in the dataset = 0 meV per atom
# M_tot = 0.00 μB/cell

***

[6]
# InAsOs2 (PBE, optimized geometry)
data_InAsOs2
_cell_length_a 3.0066
_cell_length_b 5.2069
_cell_length_c 8.5931
_cell_angle_alpha 90.00
_cell_angle_beta 90.00
_cell_angle_gamma 90.00
_space_group_name_H-M_alt 'C m m m'
_space_group_IT_number 65
_space_group_name_Hall '-C 2 2'
loop_
_atom_site_label
_atom_site_fract_x
_atom_site_fract_y
_atom_site_fract_z
In1 0.0000 0.0000 0.0000
As1 0.0000 0.0000 0.5000
Os1 0.0000 0.5000 0.2742
# Excess energy over the best structure of this formula in the dataset = 398 meV per atom
# M_tot = 0.00 μB/cell

***

[7]
# InAsOs4 (PBE, optimized geometry)
data_InAsOs4
_cell_length_a 7.4235
_cell_length_b 7.4235
_cell_length_c 7.4235
_cell_angle_alpha 90.00
_cell_angle_beta 90.00
_cell_angle_gamma 90.00
_space_group_name_H-M_alt 'F -4 3 m'
_space_group_IT_number 216
_space_group_name_Hall 'F -4 2 3'
loop_
_atom_site_label
_atom_site_fract_x
_atom_site_fract_y
_atom_site_fract_z
In1 0.0000 0.0000 0.0000
As1 0.2500 0.2500 0.2500
Os1 0.1246 0.1246 0.6246
# M_tot = 0.02 μB/cell

***

[8]
# InAsOs3 (PBE, optimized geometry)
data_InAsOs3
_cell_length_a 4.8287
_cell_length_b 4.8287
_cell_length_c 4.8287
_cell_angle_alpha 90.00
_cell_angle_beta 90.00
_cell_angle_gamma 90.00
_space_group_name_H-M_alt 'P m -3 m'
_space_group_IT_number 221
_space_group_name_Hall '-P 4 2 3'
loop_
_atom_site_label
_atom_site_fract_x
_atom_site_fract_y
_atom_site_fract_z
In1 0.0000 0.0000 0.0000
As1 0.5000 0.5000 0.5000
Os1 0.0000 0.0000 0.5000
# Excess energy over the best structure of this formula in the dataset = 1562 meV per atom
# M_tot = 1.15 μB/cell

***

Taking the records one at a time from the top gives calculated formation energy values of 64.4, 28.8, 46.6, 42.0, 134.8, 67.2, 81.4, 285.5 kJ/mol of atoms.